[1]
## Sr2SnHg16 (PBE)

Data for a relaxed Sr2SnHg16 crystal.

Geometry as POSCAR:
```
Sr2SnHg16
1.0
-2.913 -1.391 7.625
6.790 -0.306 4.730
0.256 7.430 3.645
Sr Sn Hg
2 1 16
Direct
0.641 0.641 0.641
0.320 0.320 0.320
0.945 0.945 0.945
0.695 0.005 0.307
0.005 0.307 0.695
0.307 0.695 0.005
0.005 0.695 0.307
0.695 0.307 0.005
0.307 0.005 0.695
0.348 0.901 0.348
0.901 0.348 0.348
0.348 0.348 0.901
0.594 0.234 0.594
0.234 0.594 0.594
0.594 0.594 0.234
0.934 0.578 0.934
0.578 0.934 0.934
0.934 0.934 0.578
0.117 0.117 0.117
```

Results
- DFT formation energy (meV per atom) = -154.7
- DOS at the Fermi energy (states/eV per cell) = 8.15
- SG = No. 160
- size of the total moment (μB/atom) = 0.0000
- density (g/cm³) = 11.11

=====

[2]
## SrSn2Hg2 (PBE)

Data for a relaxed SrSn2Hg2 crystal.

Geometry as POSCAR:
```
SrSn2Hg2
1.0
4.791 0.000 0.000
0.000 4.791 0.000
2.396 2.396 6.400
Sr Hg Sn
1 2 2
Direct
0.000 0.000 0.000
0.392 0.392 0.217
0.608 0.608 0.783
0.750 0.250 0.500
0.250 0.750 0.500
```

Results
- DFT formation energy (meV per atom) = -306.9
- DOS at the Fermi energy (states/eV per cell) = 1.57
- SG = No. 139
- size of the total moment (μB/atom) = 0.0000
- density (g/cm³) = 8.21

=====

[3]
## Sr2SnHg2 (PBE)

Data for a relaxed Sr2SnHg2 crystal.

Geometry as POSCAR:
```
Sr2SnHg2
1.0
9.117 0.000 0.000
0.000 9.117 0.000
0.000 0.000 4.060
Sr Hg Sn
4 4 2
Direct
0.336 0.836 0.000
0.836 0.664 0.000
0.664 0.164 0.000
0.164 0.336 0.000
0.133 0.633 0.500
0.633 0.867 0.500
0.867 0.367 0.500
0.367 0.133 0.500
0.000 0.000 0.000
0.500 0.500 0.000
```

Results
- DFT formation energy (meV per atom) = -318.6
- DOS at the Fermi energy (states/eV per cell) = 7.35
- SG = No. 127
- size of the total moment (μB/atom) = 0.0000
- density (g/cm³) = 6.84
- energy relative to the lowest polymorph listed for this composition (eV/atom) = 0.219

=====

[4]
## SrSnHg (PBE)

Data for a relaxed SrSnHg crystal.

Geometry as POSCAR:
```
SrSnHg
1.0
-1.285 -2.935 3.846
4.817 1.095 -0.813
-0.691 6.622 4.822
Sr Hg Sn
2 2 2
Direct
0.000 0.000 0.752
0.000 0.000 0.252
0.667 0.333 0.551
0.333 0.667 0.051
0.667 0.333 0.967
0.333 0.667 0.467
```

Results
- DFT formation energy (meV per atom) = -557.0
- DOS at the Fermi energy (states/eV per cell) = 0.77
- SG = No. 186
- size of the total moment (μB/atom) = 0.0000
- density (g/cm³) = 7.57

=====

[5]
## Sr7Sn2Hg2 (PBE)

Data for a relaxed Sr7Sn2Hg2 crystal.

Geometry as POSCAR:
```
Sr7Sn2Hg2
1.0
-3.185 6.747 -1.420
-2.565 0.444 7.866
7.172 1.022 2.281
Sr Sn Hg
7 2 2
Direct
0.000 0.276 0.500
0.500 0.724 0.000
0.000 0.724 0.500
0.500 0.276 0.000
0.000 0.000 0.000
0.500 0.747 0.500
0.500 0.253 0.500
0.827 0.500 0.827
0.173 0.500 0.173
0.710 0.000 0.290
0.290 0.000 0.710
```

Results
- DFT formation energy (meV per atom) = -307.0
- DOS at the Fermi energy (states/eV per cell) = 12.90
- SG = No. 65
- size of the total moment (μB/atom) = 0.0001
- density (g/cm³) = 4.61

=====

[6]
## SrSnHg (PBE)

Data for a relaxed SrSnHg crystal.

Geometry as POSCAR:
```
SrSnHg
1.0
-6.437 4.560 1.561
-0.205 -3.360 8.970
7.513 4.615 -3.216
Sr Sn Hg
6 6 6
Direct
0.753 0.040 0.580
0.173 0.960 0.420
0.333 0.750 0.000
0.333 0.250 0.000
0.173 0.460 0.420
0.753 0.540 0.580
0.753 0.250 0.000
0.753 0.750 0.000
0.420 0.167 0.333
0.087 0.833 0.667
0.087 0.333 0.667
0.420 0.667 0.333
0.011 0.000 0.000
0.011 0.500 0.000
0.496 0.371 0.742
0.754 0.629 0.258
0.754 0.129 0.258
0.496 0.871 0.742
```

Results
- DFT formation energy (meV per atom) = -501.4
- DOS at the Fermi energy (states/eV per cell) = 6.47
- SG = No. 38
- size of the total moment (μB/atom) = 0.0000
- density (g/cm³) = 7.52

=====

[7]
## SrSnHg2 (PBE)

Data for a relaxed SrSnHg2 crystal.

Geometry as POSCAR:
```
SrSnHg2
1.0
0.601 7.197 -0.188
-3.135 -6.163 -2.094
-3.397 -4.504 4.512
Sr Sn Hg
1 1 2
Direct
0.000 0.000 0.000
0.000 0.500 0.500
0.000 0.264 0.264
0.000 0.736 0.736
```

Results
- DFT formation energy (meV per atom) = -187.0
- DOS at the Fermi energy (states/eV per cell) = 1.50
- SG = No. 71
- size of the total moment (μB/atom) = 0.0000
- density (g/cm³) = 7.65

=====

[8]
## SrSn4Hg6 (PBE)

Data for a relaxed SrSn4Hg6 crystal.

Geometry as POSCAR:
```
SrSn4Hg6
1.0
7.739 0.029 0.043
-3.552 6.875 -0.043
-3.552 -2.568 6.378
Sr Sn Hg
1 4 6
Direct
0.000 0.000 0.000
0.000 0.229 0.617
0.612 0.383 0.383
0.000 0.617 0.229
0.388 0.771 0.771
0.000 0.858 0.568
0.000 0.568 0.858
0.710 0.142 0.142
0.500 0.000 0.500
0.290 0.432 0.432
0.500 0.500 0.000
```

Results
- DFT formation energy (meV per atom) = -35.0
- DOS at the Fermi energy (states/eV per cell) = 4.21
- SG = No. 121
- size of the total moment (μB/atom) = 0.0000
- density (g/cm³) = 8.61